# PBE NdGaPd, optimized geometry
data_NdGaPd
_space_group_name_H-M_alt 'P 1'
_space_group_IT_number 1
_space_group_name_Hall 'P 1'
_cell_length_a 4.507
_cell_length_b 4.507
_cell_length_c 8.574
_cell_angle_alpha 74.76
_cell_angle_beta 74.76
_cell_angle_gamma 60.00
loop_
_atom_site_label
_atom_site_type_symbol
_atom_site_fract_x
_atom_site_fract_y
_atom_site_fract_z
Pd1 Pd 0.300 0.300 0.101
Pd2 Pd 0.700 0.700 0.899
Ga1 Ga 0.182 0.182 0.455
Ga2 Ga 0.818 0.818 0.545
Nd1 Nd 0.419 0.419 0.742
Nd2 Nd 0.581 0.581 0.258
# - Energy: -4.867 eV per atom
# - Energy of formation: -0.538 eV/atom
# - Space-group type: R-3m, No. 166